Entry 1:
The following is a PBE calculation of Ho2TmTh4 after structural relaxation, from Alexandria.

Output
* energy of formation from the pure elements: 0.24 eV/atom

a = 6.8541 Å, b = 6.8541 Å, c = 11.6022 Å
α = 90.04°, β = 90.04°, γ = 121.70°
Last column: nearest neighbours and their distance in Å.
Atoms (fractional coordinates):
1 Ho 0.0171 0.9829 0.7500  4 Th 3.42, 2 Tm 3.59
2 Ho 0.3420 0.6580 0.7500  6 Th 3.39-3.79, 1 Tm 3.41
3 Ho 0.6580 0.3420 0.2500  6 Th 3.39-3.79, 1 Tm 3.41
4 Ho 0.9829 0.0171 0.2500  4 Th 3.42, 2 Tm 3.59
5 Tm 0.3733 0.6267 0.2500  6 Th 3.24-3.62, 3 Ho 3.41-3.59
6 Tm 0.6267 0.3733 0.7500  6 Th 3.24-3.62, 3 Ho 3.41-3.59
7 Th 0.2253 0.7744 0.0160  1 Tm 3.24, 4 Th 3.25-3.41, 1 Ho 3.39
8 Th 0.2256 0.7747 0.4840  1 Tm 3.24, 4 Th 3.25-3.41, 1 Ho 3.39
9 Th 0.2703 0.2701 0.0003  3 Th 3.07-3.25, 2 Ho 3.42
10 Th 0.2701 0.2703 0.5003  3 Th 3.07-3.25, 2 Ho 3.42
11 Th 0.7297 0.7299 0.9997  3 Th 3.07-3.25, 2 Ho 3.42
12 Th 0.7299 0.7297 0.4997  3 Th 3.07-3.25, 2 Ho 3.42
13 Th 0.7744 0.2253 0.5160  1 Tm 3.24, 4 Th 3.25-3.41, 1 Ho 3.39
14 Th 0.7747 0.2256 0.9840  1 Tm 3.24, 4 Th 3.25-3.41, 1 Ho 3.39

Entry 2:
The following is a PBE calculation of ZrTaRu2 after structural relaxation, from Alexandria.

Output
* energy of formation from the pure elements: 0.46 eV/atom

a = 5.7827 Å, b = 5.7827 Å, c = 5.7827 Å
α = 151.10°, β = 129.08°, γ = 59.61°
Last column: nearest neighbours and their distance in Å.
Atoms (fractional coordinates):
1 Zr 0.0000 0.0000 0.0000  2 Ru 2.63, 4 Ta 2.87, 2 Zr 2.89
2 Ta 0.5000 0.5000 0.0000  2 Ru 2.38
3 Ru 0.2624 0.2624 0.0000  1 Ta 2.38, 1 Zr 2.63
4 Ru 0.7376 0.7376 0.0000  1 Ta 2.38, 1 Zr 2.63

Entry 3:
The following is a PBE calculation of Cs2TbSnSe5 after structural relaxation, from Alexandria.

Output
* formation energy (no corrections): -1022 meV/atom

a = 10.9569 Å, b = 10.9569 Å, c = 15.6882 Å
α = 90.00°, β = 90.00°, γ = 158.03°
Last column: nearest neighbours and their distance in Å.
Atoms (fractional coordinates):
1 Cs 0.1320 0.8680 0.5000  7 Se 3.62-3.93
2 Cs 0.1383 0.8617 0.1326  7 Se 3.67-4.03
3 Cs 0.8617 0.1383 0.6326  7 Se 3.67-4.03
4 Cs 0.8680 0.1320 0.0000  7 Se 3.62-3.93
5 Tb 0.1991 0.8009 0.8376  5 Se 2.75-3.02
6 Tb 0.8009 0.1991 0.3376  5 Se 2.75-3.02
7 Sn 0.4364 0.5636 0.2306  4 Se 2.48-2.67
8 Sn 0.5636 0.4364 0.7306  4 Se 2.48-2.67
9 Se 0.0515 0.9485 0.8355  2 Sn 2.67
10 Se 0.3060 0.6940 0.4560  2 Tb 2.80
11 Se 0.3190 0.6810 0.2011  1 Sn 2.57
12 Se 0.3262 0.6738 0.8200  1 Tb 2.75
13 Se 0.4981 0.5019 0.0974  1 Sn 2.48
14 Se 0.5019 0.4981 0.5974  1 Sn 2.48
15 Se 0.6738 0.3262 0.3200  1 Tb 2.75
16 Se 0.6810 0.3190 0.7011  1 Sn 2.57
17 Se 0.6940 0.3060 0.9560  2 Tb 2.80
18 Se 0.9485 0.0515 0.3355  2 Sn 2.67

Entry 4:
The following is a PBE calculation of Hf5Al3 after structural relaxation, from Alexandria.

Output
* energy of formation from the pure elements: -0.29 eV/atom

a = 4.1708 Å, b = 4.3018 Å, c = 8.7538 Å
α = 90.00°, β = 90.00°, γ = 90.00°
Last column: nearest neighbours and their distance in Å.
Atoms (fractional coordinates):
1 Hf 0.0000 0.0000 0.0000  8 Al 3.00-3.02, 4 Hf 3.01
2 Hf 0.0000 0.0000 0.5000  8 Hf 3.00-3.13, 4 Al 3.02
3 Hf 0.0000 0.5000 0.2410  6 Al 2.97-3.00, 6 Hf 3.01-3.13
4 Hf 0.0000 0.5000 0.7590  6 Al 2.97-3.00, 6 Hf 3.01-3.13
5 Hf 0.5000 0.5000 0.5000  8 Hf 3.00-3.08, 4 Al 3.07
6 Al 0.5000 0.0000 0.2497  10 Hf 3.00-3.07, 2 Al 3.07
7 Al 0.5000 0.0000 0.7503  10 Hf 3.00-3.07, 2 Al 3.07
8 Al 0.5000 0.5000 0.0000  8 Hf 2.97-3.00, 4 Al 3.07

Entry 5:
The following is a PBE calculation of TcSnSe2 after structural relaxation, from Alexandria.

Output
* formation energy (no corrections): 105 meV/atom

a = 6.9715 Å, b = 6.9715 Å, c = 6.9715 Å
α = 124.61°, β = 124.61°, γ = 82.19°
Last column: nearest neighbours and their distance in Å.
Atoms (fractional coordinates):
1 Tc 0.0000 0.0000 0.0000  4 Se 2.39
2 Tc 0.7500 0.2500 0.5000  4 Se 2.39
3 Sn 0.2500 0.7500 0.5000  4 Se 2.93
4 Sn 0.5000 0.5000 0.0000  4 Se 2.93
5 Se 0.0565 0.6250 0.9315  2 Tc 2.39
6 Se 0.3750 0.3065 0.4315  2 Tc 2.39
7 Se 0.6935 0.1250 0.0685  2 Tc 2.39
8 Se 0.8750 0.9435 0.5685  2 Tc 2.39

Entry 6:
The following is a PBE calculation of Ca2Ac5Nd4 after structural relaxation, from Alexandria.

Output
* energy of formation from the pure elements: 0.12 eV/atom

a = 9.5248 Å, b = 3.7508 Å, c = 12.6194 Å
α = 90.00°, β = 95.34°, γ = 90.00°
Last column: nearest neighbours and their distance in Å.
Atoms (fractional coordinates):
1 Ca 0.0534 0.0000 0.1354  3 Ca 3.47-3.75, 2 Ac 3.62-3.63, 2 Nd 3.85
2 Ca 0.9466 0.0000 0.8646  3 Ca 3.47-3.75, 2 Ac 3.62-3.63, 2 Nd 3.85
3 Ac 0.1941 0.0000 0.6629  1 Ca 3.63, 4 Ac 3.72-3.81, 4 Nd 3.83-3.84
4 Ac 0.4319 0.0000 0.2003  1 Ca 3.62, 4 Ac 3.75-3.81, 4 Nd 3.79-3.80
5 Ac 0.5000 0.0000 0.5000  6 Ac 3.72-3.78, 4 Nd 3.89
6 Ac 0.5681 0.0000 0.7997  1 Ca 3.62, 4 Ac 3.75-3.81, 4 Nd 3.79-3.80
7 Ac 0.8059 0.0000 0.3371  1 Ca 3.63, 4 Ac 3.72-3.81, 4 Nd 3.83-3.84
8 Nd 0.1564 0.5000 0.3972  3 Nd 3.75-4.13, 6 Ac 3.83-3.89, 2 Ca 3.85
9 Nd 0.3015 0.5000 0.9483  3 Nd 3.75-3.88, 6 Ac 3.79-4.10, 4 Ca 3.92-3.96
10 Nd 0.6985 0.5000 0.0517  3 Nd 3.75-3.88, 6 Ac 3.79-4.10, 4 Ca 3.92-3.96
11 Nd 0.8436 0.5000 0.6028  3 Nd 3.75-4.13, 6 Ac 3.83-3.89, 2 Ca 3.85

Entry 7:
The following is a PBE calculation of Ti2GaRh after structural relaxation, from Alexandria.

Output
* energy of formation from the pure elements: -0.18 eV/atom

a = 5.6922 Å, b = 5.6922 Å, c = 5.6922 Å
α = 102.17°, β = 102.17°, γ = 125.34°
Last column: nearest neighbours and their distance in Å.
Atoms (fractional coordinates):
1 Ti 0.0965 0.6250 0.9715  2 Rh 2.48, 2 Ti 2.64, 2 Ga 2.76
2 Ti 0.3750 0.3465 0.4715  2 Rh 2.48, 2 Ti 2.64, 2 Ga 2.76
3 Ti 0.6535 0.1250 0.0285  2 Rh 2.48, 2 Ti 2.64, 2 Ga 2.76
4 Ti 0.8750 0.9035 0.5285  2 Rh 2.48, 2 Ti 2.64, 2 Ga 2.76
5 Ga 0.2500 0.7500 0.5000  2 Rh 2.61, 4 Ti 2.76
6 Ga 0.5000 0.5000 0.0000  2 Rh 2.61, 4 Ti 2.76
7 Rh 0.0000 0.0000 0.0000  4 Ti 2.48, 2 Ga 2.61
8 Rh 0.7500 0.2500 0.5000  4 Ti 2.48, 2 Ga 2.61

Entry 8:
The following is a PBE calculation of Na4TlPb2 after structural relaxation, from Alexandria.

Output
* energy of formation from the pure elements: -0.12 eV/atom

a = 5.5978 Å, b = 5.5978 Å, c = 8.3861 Å
α = 104.26°, β = 104.26°, γ = 54.79°
Last column: nearest neighbours and their distance in Å.
Atoms (fractional coordinates):
1 Na 0.0710 0.0710 0.2114  5 Na 3.33-3.56, 5 Pb 3.33-3.72
2 Na 0.2128 0.2128 0.6509  4 Na 3.33-3.56, 3 Tl 3.35-3.43, 3 Pb 3.45-3.64
3 Na 0.7872 0.7872 0.3491  4 Na 3.33-3.56, 3 Tl 3.35-3.43, 3 Pb 3.45-3.64
4 Na 0.9290 0.9290 0.7886  5 Na 3.33-3.56, 5 Pb 3.33-3.72
5 Tl 0.5000 0.5000 0.5000  10 Na 3.35-3.73, 2 Pb 3.45
6 Pb 0.3572 0.3572 0.0751  8 Na 3.33-3.72, 3 Pb 3.36-3.41, 1 Tl 3.45
7 Pb 0.6428 0.6428 0.9249  8 Na 3.33-3.72, 3 Pb 3.36-3.41, 1 Tl 3.45

Entry 9:
The following is a PBE calculation of NaCu2F4 after structural relaxation, from Alexandria.

Output
* formation energy (no corrections): -1653 meV/atom

a = 4.4972 Å, b = 4.4972 Å, c = 5.7083 Å
α = 90.00°, β = 90.00°, γ = 90.00°
Last column: nearest neighbours and their distance in Å.
Atoms (fractional coordinates):
1 Na 0.0000 0.0000 0.0000  4 F 2.22
2 Cu 0.0000 0.5000 0.5000  4 F 2.00
3 Cu 0.5000 0.0000 0.5000  4 F 2.00
4 F 0.2332 0.2332 0.2885  2 Cu 2.00, 1 Na 2.22
5 F 0.2332 0.7668 0.7115  2 Cu 2.00, 1 Na 2.22
6 F 0.7668 0.2332 0.7115  2 Cu 2.00, 1 Na 2.22
7 F 0.7668 0.7668 0.2885  2 Cu 2.00, 1 Na 2.22

Entry 10:
The following is a PBE calculation of KScW2 after structural relaxation, from Alexandria.

Output
* energy of formation from the pure elements: 0.71 eV/atom

a = 2.9548 Å, b = 2.9548 Å, c = 11.0077 Å
α = 90.00°, β = 90.00°, γ = 112.87°
Last column: nearest neighbours and their distance in Å.
Atoms (fractional coordinates):
1 K 0.0000 0.0000 0.0000  6 K 2.95-3.27
2 Sc 0.5000 0.5000 0.3234  2 W 2.86, 4 Sc 2.95
3 W 0.0000 0.0000 0.5364  2 W 2.57, 2 Sc 2.86
4 W 0.5000 0.5000 0.7171  2 W 2.57

Entry 11:
The following is a PBE calculation of Tl2GaAu after structural relaxation, from Alexandria.

Output
* energy of formation from the pure elements: 0.14 eV/atom

a = 10.6283 Å, b = 10.6283 Å, c = 10.6283 Å
α = 18.42°, β = 18.42°, γ = 18.42°
Last column: nearest neighbours and their distance in Å.
Atoms (fractional coordinates):
1 Tl 0.0938 0.0938 0.0938  1 Ga 2.94, 3 Au 3.01
2 Tl 0.9062 0.9062 0.9062  1 Ga 2.94, 3 Au 3.01
3 Ga 0.0000 0.0000 0.0000  2 Tl 2.94
4 Au 0.5000 0.5000 0.5000  6 Tl 3.01

Entry 12:
The following is a PBE calculation of EuDyHgGe after structural relaxation, from Alexandria.

Output
* energy of formation from the pure elements: -0.54 eV/atom

a = 5.2595 Å, b = 5.2595 Å, c = 5.2595 Å
α = 60.00°, β = 60.00°, γ = 60.00°
Last column: nearest neighbours and their distance in Å.
Atoms (fractional coordinates):
1 Eu 0.0000 0.0000 0.0000  4 Ge 3.22, 4 Hg 3.22
2 Dy 0.5000 0.5000 0.5000  4 Hg 3.22, 4 Ge 3.22
3 Hg 0.2500 0.2500 0.2500  4 Dy 3.22, 4 Eu 3.22
4 Ge 0.7500 0.7500 0.7500  4 Dy 3.22, 4 Eu 3.22